Record 1
Here is a PBEsol-optimized structure of LiLa2AlPt from Alexandria. Energies are from SCAN.

Output
magnetization = 0.0 μB/cell
raw total energy = -33.7801 eV per atom
volume = 28.4 Å³ per atom
symmetry = P4/mmm (123)
crystal system = tetragonal

Cell and atoms, written as POSCAR:
```
LiLa2AlPt
1.0
5.5289 0.0000 0.0000
0.0000 5.5289 0.0000
0.0000 0.0000 4.6471
Li La Al Pt
1 2 1 1
Direct
0.0000 0.0000 0.0000
0.0000 0.5000 0.5000
0.5000 0.0000 0.5000
0.5000 0.5000 0.0000
0.0000 0.0000 0.5000
```

---

Record 2
Here is a PBEsol-optimized structure of CaScTa2F from Alexandria. Energies are from SCAN.

Output
magnetization = 0.0 μB/cell
raw total energy = -30.9991 eV per atom
volume = 21.9 Å³ per atom
formation energy from raw total energies = 1.122 eV/atom
symmetry = P4/mmm (123)
crystal system = tetragonal

Cell and atoms, written as POSCAR:
```
CaScTa2F
1.0
5.2907 0.0000 0.0000
0.0000 5.2907 0.0000
0.0000 0.0000 3.9175
Ca Sc Ta F
1 1 2 1
Direct
0.0000 0.0000 0.0000
0.5000 0.5000 0.5000
0.0000 0.5000 0.0000
0.5000 0.0000 0.0000
0.0000 0.0000 0.5000
```

---

Record 3
Here is a PBEsol-optimized structure of K4Sb2O3 from Alexandria. Energies are from SCAN.

Output
magnetization = 0.0 μB/cell
raw total energy = -15.3905 eV per atom
volume = 26.9 Å³ per atom
formation energy from raw total energies = -1.332 eV/atom
symmetry = P6_3mc (186)
crystal system = hexagonal

Cell and atoms, written as POSCAR:
```
K4Sb2O3
1.0
6.2508 0.0000 0.0000
-3.1254 5.4134 0.0000
0.0000 0.0000 14.3117
K Sb O
8 4 6
Direct
0.0000 0.0000 0.0000
0.0000 0.0000 0.2378
0.0000 0.0000 0.5000
0.0000 0.0000 0.7378
0.3333 0.6667 0.1100
0.3333 0.6667 0.4501
0.6667 0.3333 0.6100
0.6667 0.3333 0.9501
0.3333 0.6667 0.6757
0.3333 0.6667 0.8662
0.6667 0.3333 0.1757
0.6667 0.3333 0.3662
0.1766 0.3533 0.6137
0.1766 0.8234 0.6137
0.3533 0.1766 0.1137
0.6467 0.8234 0.6137
0.8234 0.1766 0.1137
0.8234 0.6467 0.1137
```

---

Record 4
Here is a PBEsol-optimized structure of Tl2AgTe2 from Alexandria. Energies are from SCAN.

Output
magnetization = 0.0 μB/cell
raw total energy = -49.9376 eV per atom
volume = 29.1 Å³ per atom
formation energy from raw total energies = 0.180 eV/atom
symmetry = I4/mmm (139)
crystal system = tetragonal

Cell and atoms, written as POSCAR:
```
Tl2AgTe2
1.0
-2.1438 2.1438 7.9221
2.1438 -2.1438 7.9221
2.1438 2.1438 -7.9221
Tl Ag Te
2 1 2
Direct
0.2500 0.7500 0.5000
0.7500 0.2500 0.5000
0.0000 0.0000 0.0000
0.4096 0.4096 0.0000
0.5904 0.5904 0.0000
```

---

Record 5
Here is a PBEsol-optimized structure of BiP2BrO from Alexandria. Energies are from SCAN.

Output
magnetization = 3.1 μB/cell
raw total energy = -24.1603 eV per atom
volume = 23.6 Å³ per atom
formation energy from raw total energies = 0.853 eV/atom
symmetry = P4/mmm (123)
crystal system = tetragonal

Cell and atoms, written as POSCAR:
```
BiP2BrO
1.0
5.3172 0.0000 0.0000
0.0000 5.3172 0.0000
0.0000 0.0000 4.1780
Bi P Br O
1 2 1 1
Direct
0.0000 0.0000 0.0000
0.0000 0.5000 0.0000
0.5000 0.0000 0.0000
0.5000 0.5000 0.5000
0.0000 0.0000 0.5000
```

---

Record 6
Here is a PBEsol-optimized structure of Rb2CaCoTe from Alexandria. Energies are from SCAN.

Output
magnetization = 1.4 μB/cell
raw total energy = -21.0311 eV per atom
volume = 34.4 Å³ per atom
formation energy from raw total energies = 0.108 eV/atom
symmetry = P4/mmm (123)
crystal system = tetragonal

Cell and atoms, written as POSCAR:
```
Rb2CaCoTe
1.0
5.6507 0.0000 0.0000
0.0000 5.6507 0.0000
0.0000 0.0000 5.3912
Rb Ca Co Te
2 1 1 1
Direct
0.0000 0.5000 0.0000
0.5000 0.0000 0.0000
0.0000 0.0000 0.5000
0.0000 0.0000 0.0000
0.5000 0.5000 0.5000
```

---

Record 7
Here is a PBEsol-optimized structure of CsKNa2Sn from Alexandria. Energies are from SCAN.

Output
magnetization = 0.0 μB/cell
raw total energy = -18.2004 eV per atom
volume = 49.8 Å³ per atom
symmetry = P4/mmm (123)
crystal system = tetragonal

Cell and atoms, written as POSCAR:
```
CsKNa2Sn
1.0
6.1059 0.0000 0.0000
0.0000 6.1059 0.0000
0.0000 0.0000 6.6764
Cs K Na Sn
1 1 2 1
Direct
0.0000 0.0000 0.0000
0.5000 0.5000 0.0000
0.0000 0.5000 0.5000
0.5000 0.0000 0.5000
0.5000 0.5000 0.5000
```

---

Record 8
Here is a PBEsol-optimized structure of LiCuAg from Alexandria. Energies are from SCAN.

Output
excess energy over the best structure of this formula in the dataset = 0.0384 eV/atom
magnetization = 0.0 μB/cell
raw total energy = -16.3129 eV per atom
volume = 14.0 Å³ per atom
symmetry = I4mm (107)
crystal system = tetragonal

Cell and atoms, written as POSCAR:
```
LiCuAg
1.0
-1.3675 1.3675 5.6041
1.3675 -1.3675 5.6041
1.3675 1.3675 -5.6041
Li Cu Ag
1 1 1
Direct
0.0000 0.0000 0.0000
0.3424 0.3424 0.0000
0.6766 0.6766 0.0000
```

---

Question: Which value of raw total energy does entry 3 give?
Answer: -15.3905 eV per atom